A relaxed structure of Li5Ga3Bi12, computed with PBE-GGA.

Properties
DOS(E_F): 8.273 states/eV/f.u.
calculated total energy: -3.158 eV per atom
energy relative to the elements: 0.103 eV/atom

Cell: 15.2058 15.2058 15.2058 Å, 109.47 109.47 109.47°
With the nearest neighbours (Å) after each atom.
Fractional coordinates of all 80 atoms:
Li: 0.0000 0.0000 0.0000  6 Bi 2.92
Li: 0.0000 0.0000 0.5000  6 Bi 2.92
Li: 0.0000 0.5000 0.0000  6 Bi 2.92
Li: 0.0000 0.5000 0.5000  6 Bi 2.92
Li: 0.1250 0.7500 0.8750  4 Bi 3.09
Li: 0.1250 0.8750 0.2500  4 Bi 3.09
Li: 0.2500 0.1250 0.8750  4 Bi 3.09
Li: 0.2500 0.6250 0.3750  4 Bi 3.09
Li: 0.3750 0.2500 0.6250  4 Bi 3.09
Li: 0.3750 0.6250 0.7500  4 Bi 3.09
Li: 0.5000 0.0000 0.0000  6 Bi 2.92
Li: 0.5000 0.0000 0.5000  6 Bi 2.92
Li: 0.5000 0.5000 0.0000  6 Bi 2.92
Li: 0.5000 0.5000 0.5000  6 Bi 2.92
Li: 0.6250 0.3750 0.2500  4 Bi 3.09
Li: 0.6250 0.7500 0.3750  4 Bi 3.09
Li: 0.7500 0.3750 0.6250  4 Bi 3.09
Li: 0.7500 0.8750 0.1250  4 Bi 3.09
Li: 0.8750 0.1250 0.7500  4 Bi 3.09
Li: 0.8750 0.2500 0.1250  4 Bi 3.09
Ga: 0.1250 0.2500 0.3750  8 Bi 3.06-3.21
Ga: 0.1250 0.3750 0.7500  8 Bi 3.06-3.21
Ga: 0.2500 0.3750 0.1250  8 Bi 3.06-3.21
Ga: 0.2500 0.8750 0.6250  8 Bi 3.06-3.21
Ga: 0.3750 0.1250 0.2500  8 Bi 3.06-3.21
Ga: 0.3750 0.7500 0.1250  8 Bi 3.06-3.21
Ga: 0.6250 0.2500 0.8750  8 Bi 3.06-3.21
Ga: 0.6250 0.8750 0.7500  8 Bi 3.06-3.21
Ga: 0.7500 0.1250 0.3750  8 Bi 3.06-3.21
Ga: 0.7500 0.6250 0.8750  8 Bi 3.06-3.21
Ga: 0.8750 0.6250 0.2500  8 Bi 3.06-3.21
Ga: 0.8750 0.7500 0.6250  8 Bi 3.06-3.21
Bi: 0.0696 0.6420 0.4177  2 Li 2.92-3.09, 2 Ga 3.06-3.21, 1 Bi 3.16
Bi: 0.0696 0.9276 0.6519  2 Li 2.92-3.09, 2 Ga 3.06-3.21, 1 Bi 3.16
Bi: 0.0724 0.2243 0.1420  2 Li 2.92-3.09, 2 Ga 3.06-3.21, 1 Bi 3.16
Bi: 0.0724 0.3481 0.9304  2 Li 2.92-3.09, 2 Ga 3.06-3.21, 1 Bi 3.16
Bi: 0.0823 0.7243 0.6519  2 Li 2.92-3.09, 2 Ga 3.06-3.21, 1 Bi 3.16
Bi: 0.0823 0.8580 0.4304  2 Li 2.92-3.09, 2 Ga 3.06-3.21, 1 Bi 3.16
Bi: 0.1420 0.0724 0.2243  2 Li 2.92-3.09, 2 Ga 3.06-3.21, 1 Bi 3.16
Bi: 0.1420 0.5696 0.9177  2 Li 2.92-3.09, 2 Ga 3.06-3.21, 1 Bi 3.16
Bi: 0.1519 0.2243 0.5823  2 Li 2.92-3.09, 2 Ga 3.06-3.21, 1 Bi 3.16
Bi: 0.1519 0.4276 0.5696  2 Li 2.92-3.09, 2 Ga 3.06-3.21, 1 Bi 3.16
Bi: 0.2243 0.1420 0.0724  2 Li 2.92-3.09, 2 Ga 3.06-3.21, 1 Bi 3.16
Bi: 0.2243 0.5823 0.1519  2 Li 2.92-3.09, 2 Ga 3.06-3.21, 1 Bi 3.16
Bi: 0.2757 0.3481 0.9177  2 Li 2.92-3.09, 2 Ga 3.06-3.21, 1 Bi 3.16
Bi: 0.2757 0.4276 0.3580  2 Li 2.92-3.09, 2 Ga 3.06-3.21, 1 Bi 3.16
Bi: 0.3481 0.9177 0.2757  2 Li 2.92-3.09, 2 Ga 3.06-3.21, 1 Bi 3.16
Bi: 0.3481 0.9304 0.0724  2 Li 2.92-3.09, 2 Ga 3.06-3.21, 1 Bi 3.16
Bi: 0.3580 0.2757 0.4276  2 Li 2.92-3.09, 2 Ga 3.06-3.21, 1 Bi 3.16
Bi: 0.3580 0.5823 0.9304  2 Li 2.92-3.09, 2 Ga 3.06-3.21, 1 Bi 3.16
Bi: 0.4177 0.0696 0.6420  2 Li 2.92-3.09, 2 Ga 3.06-3.21, 1 Bi 3.16
Bi: 0.4177 0.8481 0.7757  2 Li 2.92-3.09, 2 Ga 3.06-3.21, 1 Bi 3.16
Bi: 0.4276 0.3580 0.2757  2 Li 2.92-3.09, 2 Ga 3.06-3.21, 1 Bi 3.16
Bi: 0.4276 0.5696 0.1519  2 Li 2.92-3.09, 2 Ga 3.06-3.21, 1 Bi 3.16
Bi: 0.4304 0.0823 0.8580  2 Li 2.92-3.09, 2 Ga 3.06-3.21, 1 Bi 3.16
Bi: 0.4304 0.8481 0.5724  2 Li 2.92-3.09, 2 Ga 3.06-3.21, 1 Bi 3.16
Bi: 0.5696 0.1519 0.4276  2 Li 2.92-3.09, 2 Ga 3.06-3.21, 1 Bi 3.16
Bi: 0.5696 0.9177 0.1420  2 Li 2.92-3.09, 2 Ga 3.06-3.21, 1 Bi 3.16
Bi: 0.5724 0.4304 0.8481  2 Li 2.92-3.09, 2 Ga 3.06-3.21, 1 Bi 3.16
Bi: 0.5724 0.6420 0.7243  2 Li 2.92-3.09, 2 Ga 3.06-3.21, 1 Bi 3.16
Bi: 0.5823 0.1519 0.2243  2 Li 2.92-3.09, 2 Ga 3.06-3.21, 1 Bi 3.16
Bi: 0.5823 0.9304 0.3580  2 Li 2.92-3.09, 2 Ga 3.06-3.21, 1 Bi 3.16
Bi: 0.6420 0.4177 0.0696  2 Li 2.92-3.09, 2 Ga 3.06-3.21, 1 Bi 3.16
Bi: 0.6420 0.7243 0.5724  2 Li 2.92-3.09, 2 Ga 3.06-3.21, 1 Bi 3.16
Bi: 0.6519 0.0696 0.9276  2 Li 2.92-3.09, 2 Ga 3.06-3.21, 1 Bi 3.16
Bi: 0.6519 0.0823 0.7243  2 Li 2.92-3.09, 2 Ga 3.06-3.21, 1 Bi 3.16
Bi: 0.7243 0.5724 0.6420  2 Li 2.92-3.09, 2 Ga 3.06-3.21, 1 Bi 3.16
Bi: 0.7243 0.6519 0.0823  2 Li 2.92-3.09, 2 Ga 3.06-3.21, 1 Bi 3.16
Bi: 0.7757 0.4177 0.8481  2 Li 2.92-3.09, 2 Ga 3.06-3.21, 1 Bi 3.16
Bi: 0.7757 0.8580 0.9276  2 Li 2.92-3.09, 2 Ga 3.06-3.21, 1 Bi 3.16
Bi: 0.8481 0.5724 0.4304  2 Li 2.92-3.09, 2 Ga 3.06-3.21, 1 Bi 3.16
Bi: 0.8481 0.7757 0.4177  2 Li 2.92-3.09, 2 Ga 3.06-3.21, 1 Bi 3.16
Bi: 0.8580 0.4304 0.0823  2 Li 2.92-3.09, 2 Ga 3.06-3.21, 1 Bi 3.16
Bi: 0.8580 0.9276 0.7757  2 Li 2.92-3.09, 2 Ga 3.06-3.21, 1 Bi 3.16
Bi: 0.9177 0.1420 0.5696  2 Li 2.92-3.09, 2 Ga 3.06-3.21, 1 Bi 3.16
Bi: 0.9177 0.2757 0.3481  2 Li 2.92-3.09, 2 Ga 3.06-3.21, 1 Bi 3.16
Bi: 0.9276 0.6519 0.0696  2 Li 2.92-3.09, 2 Ga 3.06-3.21, 1 Bi 3.16
Bi: 0.9276 0.7757 0.8580  2 Li 2.92-3.09, 2 Ga 3.06-3.21, 1 Bi 3.16
Bi: 0.9304 0.0724 0.3481  2 Li 2.92-3.09, 2 Ga 3.06-3.21, 1 Bi 3.16
Bi: 0.9304 0.3580 0.5823  2 Li 2.92-3.09, 2 Ga 3.06-3.21, 1 Bi 3.16